P.
Entry from Alexandria via LeMat-Bulk: a relaxed structure of SnTePN2 (PBE-GGA).

extended XYZ file:
```
5
Lattice="3.989 0.000 0.000 0.000 3.989 0.000 0.000 0.000 7.176" Properties=species:S:1:pos:R:3 pbc="T T T"
Sn 0.000 0.000 0.000
Te 0.000 0.000 3.588
P 1.994 1.994 3.588
N 0.000 1.994 0.000
N 1.994 0.000 0.000
```

Calculated values
For the density of states at the Fermi level, the calculation gives 0.930 states/eV/atom. The crystal system is tetragonal. As for the symmetry: P4/mmm, No. 123.

Q.
Entry from Alexandria via LeMat-Bulk: a relaxed structure of SnTePN2 (PBE-GGA).

extended XYZ file:
```
5
Lattice="3.943 0.000 0.000 0.000 3.943 0.000 0.000 0.000 5.223" Properties=species:S:1:pos:R:3 pbc="T T T"
Sn 0.000 0.000 0.000
Te 1.972 1.972 0.000
P 1.972 1.972 2.611
N 0.000 1.972 2.611
N 1.972 0.000 2.611
```

Calculated values
For the density of states at the Fermi level, the calculation gives 0.566 states/eV/atom. The crystal system is tetragonal. As for the symmetry: P4/mmm, No. 123.

Most stable structure: Q

P.
Entry from Alexandria via LeMat-Bulk: a relaxed structure of SrP2N (PBE-GGA).

extended XYZ file:
```
4
Lattice="0.000 3.368 3.368 3.368 0.000 3.368 3.368 3.368 0.000" Properties=species:S:1:pos:R:3 pbc="T T T"
Sr 0.000 0.000 0.000
P 1.684 1.684 1.684
P 5.051 5.051 5.051
N 3.368 3.368 3.368
```

Calculated values
For the density of states at the Fermi level, the calculation gives 0.713 states/eV/atom. The crystal system is cubic. As for the symmetry: Fm-3m, No. 225.

Q.
Entry from Alexandria via LeMat-Bulk: a relaxed structure of SrP2N (PBE-GGA).

extended XYZ file:
```
8
Lattice="-3.205 3.205 3.628 3.205 -3.205 3.628 3.205 3.205 -3.628" Properties=species:S:1:pos:R:3 pbc="T T T"
Sr 0.000 0.000 0.000
Sr 0.000 3.205 1.814
P 1.603 -0.667 2.721
P 2.538 1.603 0.907
P 1.603 3.873 -0.907
P 0.667 1.603 4.535
N 3.205 0.000 1.814
N 0.000 0.000 3.628
```

Calculated values
For the density of states at the Fermi level, the calculation gives 0.396 states/eV/atom. The crystal system is tetragonal. As for the symmetry: I-42d, No. 122.

Most stable structure: Q

P.
Entry from Alexandria via LeMat-Bulk: a relaxed structure of Sr3PN (PBE-GGA).

extended XYZ file:
```
5
Lattice="5.081 0.000 0.000 0.000 5.081 0.000 0.000 0.000 5.081" Properties=species:S:1:pos:R:3 pbc="T T T"
Sr 0.000 0.000 2.541
Sr 0.000 2.541 0.000
Sr 2.541 0.000 0.000
P 2.541 2.541 2.541
N 0.000 0.000 0.000
```

Calculated values
For the density of states at the Fermi level, the calculation gives 0.000 states/eV/atom. The crystal system is cubic. As for the symmetry: Pm-3m, No. 221.

Q.
Entry from Alexandria via LeMat-Bulk: a relaxed structure of Sr3PN (PBE-GGA).

extended XYZ file:
```
10
Lattice="3.492 -7.498 0.000 3.492 7.498 0.000 0.000 0.000 5.001" Properties=species:S:1:pos:R:3 pbc="T T T"
Sr 1.746 3.749 2.501
Sr 3.492 5.338 0.000
Sr 1.804 0.000 2.501
Sr 1.746 -3.749 2.501
Sr 5.180 0.000 2.501
Sr 3.492 -5.338 0.000
P 3.492 2.244 0.000
P 3.492 -2.244 0.000
N 3.492 5.751 2.501
N 3.492 -5.751 2.501
```

Calculated values
The crystal system is orthorhombic. As for the symmetry: Cmmm, No. 65.

Most stable structure: P

P.
Entry from Alexandria via LeMat-Bulk: a relaxed structure of Sr4P2N (PBE-GGA).

extended XYZ file:
```
14
Lattice="7.068 0.000 0.000 0.000 7.022 0.000 -2.769 0.000 8.335" Properties=species:S:1:pos:R:3 pbc="T T T"
Sr -0.522 0.055 2.083
Sr -0.522 3.456 2.083
Sr 1.512 1.755 4.939
Sr 2.853 1.755 1.126
Sr 1.446 5.266 7.208
Sr 2.787 5.266 3.396
Sr 4.821 3.566 6.252
Sr 4.821 6.966 6.252
P -0.095 5.266 4.605
P 1.628 5.266 0.506
P 2.671 1.755 7.829
P 4.394 1.755 3.730
N 1.023 1.755 2.629
N 3.276 5.266 5.706
```

Calculated values
For the density of states at the Fermi level, the calculation gives 0.706 states/eV/atom. The crystal system is monoclinic. As for the symmetry: P2_1/m, No. 11.

Q.
Entry from Alexandria via LeMat-Bulk: a relaxed structure of Sr4P2N (PBE-GGA).

extended XYZ file:
```
7
Lattice="-2.458 2.458 7.960 2.458 -2.458 7.960 2.458 2.458 -7.960" Properties=species:S:1:pos:R:3 pbc="T T T"
Sr 2.458 0.000 0.000
Sr 0.000 0.000 2.756
Sr 0.000 2.458 0.000
Sr 0.000 0.000 13.163
P 0.000 0.000 5.810
P 0.000 0.000 10.110
N 0.000 0.000 0.000
```

Calculated values
For the density of states at the Fermi level, the calculation gives 0.800 states/eV/atom. The crystal system is tetragonal. As for the symmetry: I4/mmm, No. 139.

Most stable structure: Q

P.
Entry from Alexandria via LeMat-Bulk: a relaxed structure of SrTePN2 (PBE-GGA).

extended XYZ file:
```
5
Lattice="4.727 0.000 0.000 0.000 4.727 0.000 0.000 0.000 6.974" Properties=species:S:1:pos:R:3 pbc="T T T"
Sr 0.000 0.000 0.000
Te 0.000 0.000 3.487
P 2.364 2.364 3.487
N 0.000 2.364 0.000
N 2.364 0.000 0.000
```

Calculated values
For the density of states at the Fermi level, the calculation gives 0.693 states/eV/atom. The crystal system is tetragonal. As for the symmetry: P4/mmm, No. 123.

Q.
Entry from Alexandria via LeMat-Bulk: a relaxed structure of SrTePN2 (PBE-GGA).

extended XYZ file:
```
5
Lattice="4.225 0.000 0.000 0.000 4.225 0.000 0.000 0.000 5.233" Properties=species:S:1:pos:R:3 pbc="T T T"
Sr 0.000 0.000 0.000
Te 2.112 2.112 0.000
P 2.112 2.112 2.616
N 0.000 2.112 2.616
N 2.112 0.000 2.616
```

Calculated values
For the density of states at the Fermi level, the calculation gives 0.451 states/eV/atom. The crystal system is tetragonal. As for the symmetry: P4/mmm, No. 123.

Most stable structure: Q

P.
Entry from Alexandria via LeMat-Bulk: a relaxed structure of TaTe2PN (PBE-GGA).

extended XYZ file:
```
5
Lattice="5.492 0.000 0.000 0.000 5.492 0.000 0.000 0.000 3.887" Properties=species:S:1:pos:R:3 pbc="T T T"
Ta 0.000 0.000 0.000
Te 0.000 2.746 0.000
Te 2.746 0.000 0.000
P 2.746 2.746 1.944
N 0.000 0.000 1.944
```

Calculated values
For the density of states at the Fermi level, the calculation gives 0.839 states/eV/atom. The crystal system is tetragonal. As for the symmetry: P4/mmm, No. 123.

Q.
Entry from Alexandria via LeMat-Bulk: a relaxed structure of TaTe2PN (PBE-GGA).

extended XYZ file:
```
5
Lattice="5.422 0.000 0.000 0.000 5.422 0.000 0.000 0.000 3.280" Properties=species:S:1:pos:R:3 pbc="T T T"
Ta 0.000 0.000 0.000
Te 0.000 2.711 1.640
Te 2.711 0.000 1.640
P 2.711 2.711 1.640
N 2.711 2.711 0.000
```

Calculated values
For the density of states at the Fermi level, the calculation gives 0.936 states/eV/atom. The crystal system is tetragonal. As for the symmetry: P4/mmm, No. 123.

Most stable structure: P

P.
Entry from Alexandria via LeMat-Bulk: a relaxed structure of Tb2PN (PBE-GGA).

extended XYZ file:
```
4
Lattice="1.862 1.075 6.263 -1.862 1.075 6.263 0.000 -2.150 6.263" Properties=species:S:1:pos:R:3 pbc="T T T"
Tb 0.000 0.000 4.502
Tb 0.000 0.000 14.287
P 0.000 0.000 0.000
N 0.000 0.000 9.394
```

Calculated values
For the density of states at the Fermi level, the calculation gives 0.142 states/eV/atom. The crystal system is trigonal. As for the symmetry: R-3m, No. 166.

Q.
Entry from Alexandria via LeMat-Bulk: a relaxed structure of Tb2PN (PBE-GGA).

extended XYZ file:
```
4
Lattice="1.832 1.057 6.588 -1.832 1.057 6.588 0.000 -2.115 6.588" Properties=species:S:1:pos:R:3 pbc="T T T"
Tb 0.000 0.000 0.000
Tb 0.000 0.000 3.011
P 0.000 0.000 11.407
N 0.000 0.000 14.766
```

Calculated values
For the density of states at the Fermi level, the calculation gives 0.080 states/eV/atom. The crystal system is trigonal. As for the symmetry: R3m, No. 160.

Most stable structure: P

P.
Entry from Alexandria via LeMat-Bulk: a relaxed structure of Te2PN2 (PBE-GGA).

extended XYZ file:
```
5
Lattice="3.951 0.000 0.000 0.000 3.951 0.000 0.000 0.000 6.833" Properties=species:S:1:pos:R:3 pbc="T T T"
Te 0.000 0.000 0.000
Te 0.000 0.000 3.416
P 1.976 1.976 0.000
N 0.000 1.976 3.416
N 1.976 0.000 3.416
```

Calculated values
For the density of states at the Fermi level, the calculation gives 0.631 states/eV/atom. The crystal system is tetragonal. As for the symmetry: P4/mmm, No. 123.

Q.
Entry from Alexandria via LeMat-Bulk: a relaxed structure of Te2PN2 (PBE-GGA).

extended XYZ file:
```
5
Lattice="3.856 0.000 0.000 0.000 3.856 0.000 0.000 0.000 6.398" Properties=species:S:1:pos:R:3 pbc="T T T"
Te 0.000 0.000 0.000
Te 1.928 1.928 0.000
P 0.000 0.000 3.199
N 0.000 1.928 3.199
N 1.928 0.000 3.199
```

Calculated values
For the density of states at the Fermi level, the calculation gives 0.629 states/eV/atom. The crystal system is tetragonal. As for the symmetry: P4/mmm, No. 123.

R.
Entry from Alexandria via LeMat-Bulk: a relaxed structure of Te2PN2 (PBE-GGA).

extended XYZ file:
```
5
Lattice="5.418 0.000 0.000 0.000 5.418 0.000 0.000 0.000 3.232" Properties=species:S:1:pos:R:3 pbc="T T T"
Te 0.000 2.709 0.000
Te 2.709 0.000 0.000
P 0.000 0.000 0.000
N 0.000 0.000 1.616
N 2.709 2.709 1.616
```

Calculated values
For the density of states at the Fermi level, the calculation gives 0.793 states/eV/atom. The crystal system is tetragonal. As for the symmetry: P4/mmm, No. 123.

Most stable structure: Q

P.
Entry from Alexandria via LeMat-Bulk: a relaxed structure of TeP2N (PBE-GGA).

extended XYZ file:
```
8
Lattice="-2.456 2.456 5.933 2.456 -2.456 5.933 2.456 2.456 -5.933" Properties=species:S:1:pos:R:3 pbc="T T T"
Te 0.000 0.000 0.000
Te 0.000 2.456 2.966
P 1.228 -0.360 4.449
P 2.097 1.228 1.483
P 1.228 2.816 -1.483
P 0.360 1.228 7.416
N 2.456 0.000 2.966
N 0.000 0.000 5.933
```

Calculated values
For the density of states at the Fermi level, the calculation gives 0.545 states/eV/atom. The crystal system is tetragonal. As for the symmetry: I-42d, No. 122.

Q.
Entry from Alexandria via LeMat-Bulk: a relaxed structure of TeP2N (PBE-GGA).

extended XYZ file:
```
4
Lattice="0.000 3.154 3.154 3.154 0.000 3.154 3.154 3.154 0.000" Properties=species:S:1:pos:R:3 pbc="T T T"
Te 0.000 0.000 0.000
P 1.577 1.577 1.577
P 4.730 4.730 4.730
N 3.154 3.154 3.154
```

Calculated values
For the density of states at the Fermi level, the calculation gives 0.622 states/eV/atom. The crystal system is cubic. As for the symmetry: Fm-3m, No. 225.

Most stable structure: P

P.
Entry from Alexandria via LeMat-Bulk: a relaxed structure of TiTe2PN (PBE-GGA).

extended XYZ file:
```
5
Lattice="5.472 0.000 0.000 0.000 5.472 0.000 0.000 0.000 3.316" Properties=species:S:1:pos:R:3 pbc="T T T"
Ti 0.000 0.000 0.000
Te 0.000 2.736 1.658
Te 2.736 0.000 1.658
P 2.736 2.736 1.658
N 2.736 2.736 0.000
```

Calculated values
For the density of states at the Fermi level, the calculation gives 1.047 states/eV/atom. The crystal system is tetragonal. As for the symmetry: P4/mmm, No. 123.

Q.
Entry from Alexandria via LeMat-Bulk: a relaxed structure of TiTe2PN (PBE-GGA).

extended XYZ file:
```
5
Lattice="5.437 0.000 0.000 0.000 5.437 0.000 0.000 0.000 3.725" Properties=species:S:1:pos:R:3 pbc="T T T"
Ti 0.000 0.000 0.000
Te 0.000 2.718 0.000
Te 2.718 0.000 0.000
P 2.718 2.718 1.863
N 0.000 0.000 1.863
```

Calculated values
For the density of states at the Fermi level, the calculation gives 0.996 states/eV/atom. The crystal system is tetragonal. As for the symmetry: P4/mmm, No. 123.

Most stable structure: Q

P.
Entry from Alexandria via LeMat-Bulk: a relaxed structure of Te2PWN (PBE-GGA).

extended XYZ file:
```
5
Lattice="5.381 0.000 0.000 0.000 5.381 0.000 0.000 0.000 3.803" Properties=species:S:1:pos:R:3 pbc="T T T"
Te 0.000 2.691 0.000
Te 2.691 0.000 0.000
P 0.000 0.000 1.902
W 2.691 2.691 0.000
N 2.691 2.691 1.902
```

Calculated values
For the density of states at the Fermi level, the calculation gives 0.653 states/eV/atom. The crystal system is tetragonal. As for the symmetry: P4/mmm, No. 123.

Q.
Entry from Alexandria via LeMat-Bulk: a relaxed structure of Te2PWN (PBE-GGA).

extended XYZ file:
```
5
Lattice="5.330 0.000 0.000 0.000 5.330 0.000 0.000 0.000 3.268" Properties=species:S:1:pos:R:3 pbc="T T T"
Te 0.000 2.665 0.000
Te 2.665 0.000 0.000
P 0.000 0.000 0.000
W 2.665 2.665 1.634
N 0.000 0.000 1.634
```

Calculated values
For the density of states at the Fermi level, the calculation gives 0.762 states/eV/atom. The crystal system is tetragonal. As for the symmetry: P4/mmm, No. 123.

Most stable structure: P

P.
Entry from Alexandria via LeMat-Bulk: a relaxed structure of TePWN2 (PBE-GGA).

extended XYZ file:
```
5
Lattice="3.920 0.000 0.000 0.000 3.920 0.000 0.000 0.000 5.804" Properties=species:S:1:pos:R:3 pbc="T T T"
Te 0.000 0.000 0.000
P 1.960 1.960 0.000
W 0.000 0.000 2.902
N 0.000 1.960 2.902
N 1.960 0.000 2.902
```

Calculated values
For the density of states at the Fermi level, the calculation gives 0.629 states/eV/atom. The crystal system is tetragonal. As for the symmetry: P4/mmm, No. 123.

Q.
Entry from Alexandria via LeMat-Bulk: a relaxed structure of TePWN2 (PBE-GGA).

extended XYZ file:
```
5
Lattice="3.781 0.000 0.000 0.000 3.781 0.000 0.000 0.000 5.181" Properties=species:S:1:pos:R:3 pbc="T T T"
Te 0.000 0.000 0.000
P 0.000 0.000 2.591
W 1.891 1.891 0.000
N 0.000 1.891 2.591
N 1.891 0.000 2.591
```

Calculated values
For the density of states at the Fermi level, the calculation gives 0.932 states/eV/atom. The crystal system is tetragonal. As for the symmetry: P4/mmm, No. 123.

Most stable structure: P